Material: TaPW
Method: DFT, PBE
State: relaxed

Structure (CIF):
```
data_TaPW
_chemical_formula_sum 'Ta4 P4 W4'
_symmetry_space_group_name_H-M 'F -4 3 m'
_symmetry_Int_Tables_number 216
_symmetry_space_group_name_Hall 'F -4 2 3'
_cell_length_a 5.853
_cell_length_b 5.853
_cell_length_c 5.853
_cell_angle_alpha 90.00
_cell_angle_beta 90.00
_cell_angle_gamma 90.00
loop_
_atom_site_label
_atom_site_type_symbol
_atom_site_fract_x
_atom_site_fract_y
_atom_site_fract_z
_atom_site_occupancy
Ta1 Ta 0.000 0.000 0.000 1
P1 P 0.250 0.250 0.750 1
W1 W 0.000 0.000 0.500 1
```

Values from the calculation:
total energy	-9.88	eV/atom
theoretical density	13.11	g cm⁻³
size of the total moment	0.00	μB per cell

Material: HfGe2
Method: DFT, PBE
State: relaxed

Structure (CIF):
```
data_HfGe2
_chemical_formula_sum 'Hf2 Ge4'
_symmetry_space_group_name_H-M 'C 1 2/m 1'
_symmetry_Int_Tables_number 12
_symmetry_space_group_name_Hall '-C 2y'
_cell_length_a 4.870
_cell_length_b 4.826
_cell_length_c 5.215
_cell_angle_alpha 90.00
_cell_angle_beta 117.63
_cell_angle_gamma 90.00
loop_
_atom_site_label
_atom_site_type_symbol
_atom_site_fract_x
_atom_site_fract_y
_atom_site_fract_z
_atom_site_occupancy
Hf1 Hf 0.000 0.000 0.000 1
Ge1 Ge 0.173 0.500 0.342 1
```

Values from the calculation:
total energy	-6.66	eV/atom
theoretical density	9.90	g cm⁻³
size of the total moment	0.00	μB per cell

Material: Li2TlMo
Method: DFT, PBE
State: relaxed

Structure (CIF):
```
data_Li2TlMo
_chemical_formula_sum 'Li8 Tl4 Mo4'
_symmetry_space_group_name_H-M 'F -4 3 m'
_symmetry_Int_Tables_number 216
_symmetry_space_group_name_Hall 'F -4 2 3'
_cell_length_a 6.626
_cell_length_b 6.626
_cell_length_c 6.626
_cell_angle_alpha 90.00
_cell_angle_beta 90.00
_cell_angle_gamma 90.00
loop_
_atom_site_label
_atom_site_type_symbol
_atom_site_fract_x
_atom_site_fract_y
_atom_site_fract_z
_atom_site_occupancy
Li1 Li 0.000 0.000 0.000 1
Li2 Li 0.250 0.250 0.250 1
Tl1 Tl 0.250 0.250 0.750 1
Mo1 Mo 0.000 0.000 0.500 1
```

Values from the calculation:
total energy	-3.81	eV/atom
theoretical density	7.17	g cm⁻³
size of the total moment	10.88	μB per cell

Material: PIr2Os
Method: DFT, PBE
State: relaxed

Structure (CIF):
```
data_PIr2Os
_chemical_formula_sum 'P1 Ir2 Os1'
_symmetry_space_group_name_H-M 'P 1 m 1'
_symmetry_Int_Tables_number 6
_symmetry_space_group_name_Hall 'P -2y'
_cell_length_a 2.831
_cell_length_b 3.806
_cell_length_c 5.408
_cell_angle_alpha 90.00
_cell_angle_beta 105.17
_cell_angle_gamma 90.00
loop_
_atom_site_label
_atom_site_type_symbol
_atom_site_fract_x
_atom_site_fract_y
_atom_site_fract_z
_atom_site_occupancy
P1 P 0.000 0.000 0.000 1
Ir1 Ir 0.139 0.500 0.284 1
Ir2 Ir 0.773 0.000 0.553 1
Os1 Os 0.409 0.500 0.826 1
```

Values from the calculation:
total energy	-8.54	eV/atom
theoretical density	17.88	g cm⁻³
size of the total moment	0.00	μB per cell

Material: Mg4Cd9Au11
Method: DFT, PBE
State: relaxed

Structure (CIF):
```
data_Mg4Cd9Au11
_chemical_formula_sum 'Mg8 Cd18 Au22'
_symmetry_space_group_name_H-M 'C m m m'
_symmetry_Int_Tables_number 65
_symmetry_space_group_name_Hall '-C 2 2'
_cell_length_a 14.753
_cell_length_b 20.620
_cell_length_c 3.067
_cell_angle_alpha 90.00
_cell_angle_beta 90.00
_cell_angle_gamma 90.00
loop_
_atom_site_label
_atom_site_type_symbol
_atom_site_fract_x
_atom_site_fract_y
_atom_site_fract_z
_atom_site_occupancy
Mg1 Mg 0.163 0.088 0.000 1
Cd1 Cd 0.000 0.000 0.000 1
Cd2 Cd 0.108 0.230 0.000 1
Cd3 Cd 0.116 0.410 0.000 1
Au1 Au 0.000 0.122 0.500 1
Au2 Au 0.000 0.321 0.500 1
Au3 Au 0.000 0.500 0.500 1
Au4 Au 0.236 0.322 0.500 1
Au5 Au 0.239 0.500 0.500 1
```

Values from the calculation:
total energy	-2.38	eV/atom
theoretical density	11.66	g cm⁻³
size of the total moment	0.00	μB per cell

Material: La8Co3TcBr4
Method: DFT, PBE
State: relaxed

Structure (CIF):
```
data_La8Co3TcBr4
_chemical_formula_sum 'La16 Co6 Tc2 Br8'
_symmetry_space_group_name_H-M 'C 1 2/m 1'
_symmetry_Int_Tables_number 12
_symmetry_space_group_name_Hall '-C 2y'
_cell_length_a 14.131
_cell_length_b 8.153
_cell_length_c 9.255
_cell_angle_alpha 90.00
_cell_angle_beta 120.68
_cell_angle_gamma 90.00
loop_
_atom_site_label
_atom_site_type_symbol
_atom_site_fract_x
_atom_site_fract_y
_atom_site_fract_z
_atom_site_occupancy
La1 La 0.018 0.249 0.303 1
La2 La 0.228 0.500 0.686 1
La3 La 0.232 0.000 0.697 1
Co1 Co 0.000 0.500 0.500 1
Co2 Co 0.250 0.250 0.500 1
Tc1 Tc 0.000 0.000 0.500 1
Br1 Br 0.000 0.000 0.000 1
Br2 Br 0.000 0.500 0.000 1
Br3 Br 0.250 0.250 0.000 1
```

Values from the calculation:
theoretical density	6.18	g cm⁻³
size of the total moment	0.00	μB per cell
raw formation energy	-0.77	eV/atom

Material: SrMgTlHg
Method: DFT, PBE
State: relaxed

Structure (CIF):
```
data_SrMgTlHg
_chemical_formula_sum 'Sr4 Mg4 Tl4 Hg4'
_symmetry_space_group_name_H-M 'F -4 3 m'
_symmetry_Int_Tables_number 216
_symmetry_space_group_name_Hall 'F -4 2 3'
_cell_length_a 7.628
_cell_length_b 7.628
_cell_length_c 7.628
_cell_angle_alpha 90.00
_cell_angle_beta 90.00
_cell_angle_gamma 90.00
loop_
_atom_site_label
_atom_site_type_symbol
_atom_site_fract_x
_atom_site_fract_y
_atom_site_fract_z
_atom_site_occupancy
Sr1 Sr 0.000 0.000 0.000 1
Mg1 Mg 0.000 0.000 0.500 1
Tl1 Tl 0.250 0.250 0.750 1
Hg1 Hg 0.250 0.250 0.250 1
```

Values from the calculation:
total energy	-1.81	eV/atom
theoretical density	7.74	g cm⁻³
size of the total moment	0.00	μB per cell

Material: Tl2HgPbCl
Method: DFT, PBE
State: relaxed

Structure (CIF):
```
data_Tl2HgPbCl
_chemical_formula_sum 'Tl2 Hg1 Pb1 Cl1'
_symmetry_space_group_name_H-M 'P 4/m m m'
_symmetry_Int_Tables_number 123
_symmetry_space_group_name_Hall '-P 4 2'
_cell_length_a 5.669
_cell_length_b 5.669
_cell_length_c 5.678
_cell_angle_alpha 90.00
_cell_angle_beta 90.00
_cell_angle_gamma 90.00
loop_
_atom_site_label
_atom_site_type_symbol
_atom_site_fract_x
_atom_site_fract_y
_atom_site_fract_z
_atom_site_occupancy
Tl1 Tl 0.000 0.500 0.000 1
Hg1 Hg 0.000 0.000 0.000 1
Pb1 Pb 0.500 0.500 0.500 1
Cl1 Cl 0.000 0.000 0.500 1
```

Values from the calculation:
theoretical density	7.75	g cm⁻³
size of the total moment	0.00	μB per cell
raw formation energy	0.17	eV/atom